Entry 1:
TaSbSe: optimized geometry, GGA-PBE.

Output
Symmetry   P-6m2
Crystal system   hexagonal

a b c (Å): 4.5952 4.5952 3.3642
angles (deg): 90.00 90.00 120.00
Fractional positions:
1 Ta 0.0000 0.0000 0.0000
2 Sb 0.6667 0.3333 0.5000
3 Se 0.3333 0.6667 0.0000

Entry 2:
TaSbSe2: optimized geometry, GGA-PBE.

Output
Symmetry   Imm2
Crystal system   orthorhombic

a b c (Å): 3.2876 4.4355 13.4303
angles (deg): 90.00 90.00 90.00
Fractional positions:
1 Ta 0.0000 0.0000 0.0000
2 Ta 0.5000 0.5000 0.5000
3 Sb 0.0000 0.5000 0.6870
4 Sb 0.5000 0.0000 0.1870
5 Se 0.0000 0.0000 0.5504
6 Se 0.0000 0.5000 0.3554
7 Se 0.5000 0.0000 0.8554
8 Se 0.5000 0.5000 0.0504

Entry 3:
Ta3SbSe: optimized geometry, GGA-PBE.

Output
Symmetry   Pm-3m
Distance to the lowest polymorph of the same formula   0 kJ/mol of formula units
Crystal system   cubic

a b c (Å): 4.7514 4.7514 4.7514
angles (deg): 90.00 90.00 90.00
Fractional positions:
1 Ta 0.0000 0.0000 0.5000
2 Ta 0.0000 0.5000 0.0000
3 Ta 0.5000 0.0000 0.0000
4 Sb 0.5000 0.5000 0.5000
5 Se 0.0000 0.0000 0.0000

Entry 4:
TaSbSe2: optimized geometry, GGA-PBE.

Output
Symmetry   Cm
Crystal system   monoclinic

a b c (Å): 9.5262 3.3323 6.2064
angles (deg): 90.00 104.88 90.00
Fractional positions:
1 Ta 0.0000 0.0000 0.0000
2 Ta 0.5000 0.5000 0.0000
3 Sb 0.3394 0.0000 0.6163
4 Sb 0.8394 0.5000 0.6163
5 Se 0.0166 0.5000 0.3251
6 Se 0.2021 0.5000 0.9695
7 Se 0.5166 0.0000 0.3251
8 Se 0.7021 0.0000 0.9695

Entry 5:
TaSbSe2: optimized geometry, GGA-PBE.

Output
Symmetry   P4/mmm
Crystal system   tetragonal

a b c (Å): 3.2034 3.2034 8.4032
angles (deg): 90.00 90.00 90.00
Fractional positions:
1 Ta 0.0000 0.0000 0.0000
2 Sb 0.0000 0.0000 0.5000
3 Se 0.5000 0.5000 0.1838
4 Se 0.5000 0.5000 0.8162

Entry 6:
Ta2SbSe: optimized geometry, GGA-PBE.

Output
Symmetry   Imm2
Distance to the lowest polymorph of the same formula   114 kJ/mol of formula units
Crystal system   orthorhombic

a b c (Å): 3.2424 4.6176 10.4587
angles (deg): 90.00 90.00 90.00
Fractional positions:
1 Ta 0.0000 0.0000 0.0000
2 Ta 0.0000 0.5000 0.2117
3 Ta 0.5000 0.0000 0.7117
4 Ta 0.5000 0.5000 0.5000
5 Sb 0.0000 0.5000 0.7361
6 Sb 0.5000 0.0000 0.2361
7 Se 0.0000 0.0000 0.5142
8 Se 0.5000 0.5000 0.0142

Entry 7:
Ta2SbSe: optimized geometry, GGA-PBE.

Output
Symmetry   Cmm2
Distance to the lowest polymorph of the same formula   25 kJ/mol of formula units
Crystal system   orthorhombic

a b c (Å): 3.6336 4.9409 10.1644
angles (deg): 90.00 90.00 90.00
Fractional positions:
1 Ta 0.0000 0.0000 0.0000
2 Ta 0.0000 0.5000 0.2164
3 Ta 0.5000 0.0000 0.2164
4 Ta 0.5000 0.5000 0.0000
5 Sb 0.0000 0.5000 0.7839
6 Sb 0.5000 0.0000 0.7839
7 Se 0.0000 0.0000 0.3981
8 Se 0.5000 0.5000 0.3981

Entry 8:
TaSbSe2: optimized geometry, GGA-PBE.

Output
Symmetry   C2/m
Crystal system   monoclinic

a b c (Å): 6.4028 8.3719 3.7024
angles (deg): 90.00 119.04 90.00
Fractional positions:
1 Ta 0.0000 0.0000 0.0000
2 Ta 0.5000 0.5000 0.0000
3 Sb 0.0000 0.5000 0.0000
4 Sb 0.5000 0.0000 0.0000
5 Se 0.2500 0.2500 0.5000
6 Se 0.2500 0.7500 0.5000
7 Se 0.7500 0.2500 0.5000
8 Se 0.7500 0.7500 0.5000

Entry 9:
TaSb2Se: optimized geometry, GGA-PBE.

Output
Symmetry   P4/mmm
Crystal system   tetragonal

a b c (Å): 3.0157 3.0157 10.6509
angles (deg): 90.00 90.00 90.00
Fractional positions:
1 Ta 0.0000 0.0000 0.0000
2 Sb 0.5000 0.5000 0.2093
3 Sb 0.5000 0.5000 0.7907
4 Se 0.0000 0.0000 0.5000

Entry 10:
TaSbSe2: optimized geometry, GGA-PBE.

Output
Symmetry   I-42d
Crystal system   tetragonal

a b c (Å): 6.7006 6.7006 10.5984
angles (deg): 90.00 90.00 90.00
Fractional positions:
1 Ta 0.0000 0.0000 0.0000
2 Ta 0.0000 0.5000 0.2500
3 Ta 0.5000 0.0000 0.7500
4 Ta 0.5000 0.5000 0.5000
5 Sb 0.0000 0.0000 0.5000
6 Sb 0.0000 0.5000 0.7500
7 Sb 0.5000 0.0000 0.2500
8 Sb 0.5000 0.5000 0.0000
9 Se 0.1861 0.2500 0.1250
10 Se 0.2500 0.6861 0.3750
11 Se 0.2500 0.8139 0.8750
12 Se 0.3139 0.2500 0.6250
13 Se 0.6861 0.7500 0.6250
14 Se 0.7500 0.1861 0.8750
15 Se 0.7500 0.3139 0.3750
16 Se 0.8139 0.7500 0.1250

Entry 11:
TaSb2Se: optimized geometry, GGA-PBE.

Output
Symmetry   P4/mmm
Crystal system   tetragonal

a b c (Å): 3.5687 3.5687 6.9139
angles (deg): 90.00 90.00 90.00
Fractional positions:
1 Ta 0.0000 0.0000 0.0000
2 Sb 0.5000 0.5000 0.2233
3 Sb 0.5000 0.5000 0.7767
4 Se 0.0000 0.0000 0.5000

Entry 12:
TaSb2Se: optimized geometry, GGA-PBE.

Output
Symmetry   Cmmm
Crystal system   orthorhombic

a b c (Å): 3.7524 4.7341 10.9520
angles (deg): 90.00 90.00 90.00
Fractional positions:
1 Ta 0.0000 0.0000 0.0000
2 Ta 0.5000 0.5000 0.0000
3 Sb 0.0000 0.5000 0.2058
4 Sb 0.0000 0.5000 0.7942
5 Sb 0.5000 0.0000 0.2058
6 Sb 0.5000 0.0000 0.7942
7 Se 0.0000 0.0000 0.5000
8 Se 0.5000 0.5000 0.5000

Entry 13:
TaSb2Se: optimized geometry, GGA-PBE.

Output
Symmetry   F-43m
Crystal system   cubic

a b c (Å): 7.0284 7.0284 7.0284
angles (deg): 90.00 90.00 90.00
Fractional positions:
1 Ta 0.0000 0.0000 0.0000
2 Ta 0.0000 0.5000 0.5000
3 Ta 0.5000 0.0000 0.5000
4 Ta 0.5000 0.5000 0.0000
5 Sb 0.0000 0.0000 0.5000
6 Sb 0.0000 0.5000 0.0000
7 Sb 0.2500 0.2500 0.7500
8 Sb 0.2500 0.7500 0.2500
9 Sb 0.5000 0.0000 0.0000
10 Sb 0.5000 0.5000 0.5000
11 Sb 0.7500 0.2500 0.2500
12 Sb 0.7500 0.7500 0.7500
13 Se 0.2500 0.2500 0.2500
14 Se 0.2500 0.7500 0.7500
15 Se 0.7500 0.2500 0.7500
16 Se 0.7500 0.7500 0.2500

Entry 14:
TaSb2Se: optimized geometry, GGA-PBE.

Output
Symmetry   P4mm
Crystal system   tetragonal

a b c (Å): 3.4497 3.4497 7.4799
angles (deg): 90.00 90.00 90.00
Fractional positions:
1 Ta 0.0000 0.0000 0.0000
2 Sb 0.0000 0.0000 0.4814
3 Sb 0.5000 0.5000 0.2221
4 Se 0.5000 0.5000 0.8162

Entry 15:
TaSb2Se: optimized geometry, GGA-PBE.

Output
Symmetry   R3m
Crystal system   trigonal

a b c (Å): 3.3521 3.3521 28.9677
angles (deg): 90.00 90.00 120.00
Fractional positions:
1 Ta 0.0000 0.0000 0.0000
2 Ta 0.3333 0.6667 0.6667
3 Ta 0.6667 0.3333 0.3333
4 Sb 0.0000 0.0000 0.2570
5 Sb 0.0000 0.0000 0.4992
6 Sb 0.3333 0.6667 0.1658
7 Sb 0.3333 0.6667 0.9237
8 Sb 0.6667 0.3333 0.5903
9 Sb 0.6667 0.3333 0.8325
10 Se 0.0000 0.0000 0.7263
11 Se 0.3333 0.6667 0.3930
12 Se 0.6667 0.3333 0.0596

Entry 16:
TaTl3Sb3Se8: optimized geometry, GGA-PBE.

Output
Symmetry   R-3m
Crystal system   trigonal

a b c (Å): 9.0781 9.0781 9.0781
angles (deg): 53.99 53.99 53.99
Fractional positions:
1 Ta 0.0000 0.0000 0.0000
2 Tl 0.0000 0.0000 0.5000
3 Tl 0.0000 0.5000 0.0000
4 Tl 0.5000 0.0000 0.0000
5 Sb 0.0000 0.5000 0.5000
6 Sb 0.5000 0.0000 0.5000
7 Sb 0.5000 0.5000 0.0000
8 Se 0.2169 0.2169 0.7577
9 Se 0.2169 0.7577 0.2169
10 Se 0.2423 0.7831 0.7831
11 Se 0.2622 0.2622 0.2622
12 Se 0.7378 0.7378 0.7378
13 Se 0.7577 0.2169 0.2169
14 Se 0.7831 0.2423 0.7831
15 Se 0.7831 0.7831 0.2423

Entry 17:
Tb5Sb2Se2: optimized geometry, GGA-PBE.

Output
Symmetry   Cmce
Crystal system   orthorhombic

a b c (Å): 8.4357 8.4357 7.9932
angles (deg): 90.00 90.00 55.76
Fractional positions:
1 Tb 0.0000 0.0000 0.0000
2 Tb 0.0191 0.6960 0.6530
3 Tb 0.1960 0.5191 0.1530
4 Tb 0.3040 0.9809 0.6530
5 Tb 0.4809 0.8040 0.1530
6 Tb 0.5000 0.5000 0.5000
7 Tb 0.5191 0.1960 0.8470
8 Tb 0.6960 0.0191 0.3470
9 Tb 0.8040 0.4809 0.8470
10 Tb 0.9809 0.3040 0.3470
11 Sb 0.1433 0.8567 0.3561
12 Sb 0.3567 0.6433 0.8561
13 Sb 0.6433 0.3567 0.1439
14 Sb 0.8567 0.1433 0.6439
15 Se 0.1947 0.1947 0.0000
16 Se 0.3053 0.3053 0.5000
17 Se 0.6947 0.6947 0.5000
18 Se 0.8053 0.8053 0.0000

Entry 18:
Tb6SbSe12: optimized geometry, GGA-PBE.

Output
Symmetry   R-3
Crystal system   trigonal

a b c (Å): 8.2046 8.2046 8.2046
angles (deg): 98.78 98.78 98.78
Fractional positions:
1 Tb 0.1367 0.8224 0.6396
2 Tb 0.1776 0.3604 0.8633
3 Tb 0.3604 0.8633 0.1776
4 Tb 0.6396 0.1367 0.8224
5 Tb 0.8224 0.6396 0.1367
6 Tb 0.8633 0.1776 0.3604
7 Sb 0.5000 0.5000 0.5000
8 Se 0.0737 0.9226 0.3204
9 Se 0.0774 0.6796 0.9263
10 Se 0.1651 0.4567 0.5243
11 Se 0.3204 0.0737 0.9226
12 Se 0.4567 0.5243 0.1651
13 Se 0.4757 0.8349 0.5433
14 Se 0.5243 0.1651 0.4567
15 Se 0.5433 0.4757 0.8349
16 Se 0.6796 0.9263 0.0774
17 Se 0.8349 0.5433 0.4757
18 Se 0.9226 0.3204 0.0737
19 Se 0.9263 0.0774 0.6796

Entry 19:
Tb5SbSe4: optimized geometry, GGA-PBE.

Output
Symmetry   Immm
Crystal system   orthorhombic

a b c (Å): 10.9890 10.9890 10.9890
angles (deg): 158.11 148.95 38.32
Fractional positions:
1 Tb 0.0000 0.0000 0.0000
2 Tb 0.1992 0.1992 0.0000
3 Tb 0.3941 0.3941 0.0000
4 Tb 0.6059 0.6059 0.0000
5 Tb 0.8008 0.8008 0.0000
6 Sb 0.5000 0.0000 0.5000
7 Se 0.1008 0.6008 0.5000
8 Se 0.2967 0.7967 0.5000
9 Se 0.7033 0.2033 0.5000
10 Se 0.8992 0.3992 0.5000

Entry 20:
TbSbSe: optimized geometry, GGA-PBE.

Output
Symmetry   I4/mmm
Crystal system   tetragonal

a b c (Å): 4.1546 4.1546 17.9844
angles (deg): 90.00 90.00 90.00
Fractional positions:
1 Tb 0.0000 0.0000 0.1493
2 Tb 0.0000 0.0000 0.8507
3 Tb 0.5000 0.5000 0.3507
4 Tb 0.5000 0.5000 0.6493
5 Sb 0.0000 0.5000 0.0000
6 Sb 0.0000 0.5000 0.5000
7 Sb 0.5000 0.0000 0.0000
8 Sb 0.5000 0.0000 0.5000
9 Se 0.0000 0.0000 0.3126
10 Se 0.0000 0.0000 0.6874
11 Se 0.5000 0.5000 0.1874
12 Se 0.5000 0.5000 0.8126

Entry 21:
Tb6Sb5Se: optimized geometry, GGA-PBE.

Output
Symmetry   C2/m
Crystal system   monoclinic

a b c (Å): 7.5432 7.5432 7.5469
angles (deg): 99.61 99.61 119.94
Fractional positions:
1 Tb 0.0818 0.4101 0.7463
2 Tb 0.2449 0.2449 0.2496
3 Tb 0.4101 0.0818 0.7463
4 Tb 0.5899 0.9182 0.2537
5 Tb 0.7551 0.7551 0.7504
6 Tb 0.9182 0.5899 0.2537
7 Sb 0.1690 0.8310 0.0000
8 Sb 0.3339 0.6661 0.5000
9 Sb 0.5000 0.5000 0.0000
10 Sb 0.6661 0.3339 0.5000
11 Sb 0.8310 0.1690 0.0000
12 Se 0.0000 0.0000 0.5000

Entry 22:
TbSbSe2: optimized geometry, GGA-PBE.

Output
Symmetry   R-3m
Crystal system   trigonal

a b c (Å): 4.0139 4.0139 26.8375
angles (deg): 90.00 90.00 120.00
Fractional positions:
1 Tb 0.0000 0.0000 0.0000
2 Tb 0.3333 0.6667 0.6667
3 Tb 0.6667 0.3333 0.3333
4 Sb 0.0000 0.0000 0.5000
5 Sb 0.3333 0.6667 0.1667
6 Sb 0.6667 0.3333 0.8333
7 Se 0.0000 0.0000 0.3950
8 Se 0.0000 0.0000 0.6050
9 Se 0.3333 0.6667 0.0617
10 Se 0.3333 0.6667 0.2716
11 Se 0.6667 0.3333 0.7284
12 Se 0.6667 0.3333 0.9383

Entry 23:
Tb3SbSe3: optimized geometry, GGA-PBE.

Output
Symmetry   R-3
Crystal system   trigonal

a b c (Å): 8.5332 8.5332 8.5332
angles (deg): 58.14 58.14 58.14
Fractional positions:
1 Tb 0.0181 0.7902 0.4245
2 Tb 0.2098 0.5755 0.9819
3 Tb 0.4245 0.0181 0.7902
4 Tb 0.5755 0.9819 0.2098
5 Tb 0.7902 0.4245 0.0181
6 Tb 0.9819 0.2098 0.5755
7 Sb 0.1660 0.1660 0.1660
8 Sb 0.8340 0.8340 0.8340
9 Se 0.1293 0.3734 0.6680
10 Se 0.3320 0.8707 0.6266
11 Se 0.3734 0.6680 0.1293
12 Se 0.6266 0.3320 0.8707
13 Se 0.6680 0.1293 0.3734
14 Se 0.8707 0.6266 0.3320

Entry 24:
Tb8SbSe6: optimized geometry, GGA-PBE.

Output
Symmetry   P-3
Crystal system   trigonal

a b c (Å): 10.5132 10.5132 4.1029
angles (deg): 90.00 90.00 120.00
Fractional positions:
1 Tb 0.0345 0.7137 0.2556
2 Tb 0.2863 0.3208 0.2556
3 Tb 0.3208 0.0345 0.7444
4 Tb 0.3333 0.6667 0.7477
5 Tb 0.6667 0.3333 0.2523
6 Tb 0.6792 0.9655 0.2556
7 Tb 0.7137 0.6792 0.7444
8 Tb 0.9655 0.2863 0.7444
9 Sb 0.0000 0.0000 0.5000
10 Se 0.1308 0.4819 0.2485
11 Se 0.3511 0.8692 0.2485
12 Se 0.4819 0.3511 0.7515
13 Se 0.5181 0.6489 0.2485
14 Se 0.6489 0.1308 0.7515
15 Se 0.8692 0.5181 0.7515

Entry 25:
Tb6SbSe5: optimized geometry, GGA-PBE.

Output
Symmetry   C2/m
Crystal system   monoclinic

a b c (Å): 7.1787 7.1787 7.2135
angles (deg): 99.54 99.54 120.07
Fractional positions:
1 Tb 0.0713 0.4117 0.2382
2 Tb 0.2438 0.2438 0.7572
3 Tb 0.4117 0.0713 0.2382
4 Tb 0.5883 0.9287 0.7618
5 Tb 0.7562 0.7562 0.2428
6 Tb 0.9287 0.5883 0.7618
7 Sb 0.5000 0.5000 0.5000
8 Se 0.0000 0.0000 0.0000
9 Se 0.1678 0.8322 0.5000
10 Se 0.3378 0.6622 0.0000
11 Se 0.6622 0.3378 0.0000
12 Se 0.8322 0.1678 0.5000

Listing total energy for the structures above in their given order: -6.514 -5.846 -7.749 -6.081 -5.999 -7.746 -7.977 -5.389 -5.655 -5.461 -5.762 -5.698 -5.490 -5.924 -6.054 -4.358 -5.463 -5.329 -5.765 -5.389 -5.591 -4.933 -5.611 -5.508 -5.778 eV/atom.
Listing energy relative to the elements, uncorrected for the structures above in their given order: -0.027 -0.110 0.884 -0.345 -0.263 0.083 -0.149 0.347 0.240 0.275 0.133 0.198 0.405 -0.028 -0.159 -0.412 -1.200 -1.449 -1.644 -1.310 -1.268 -1.002 -1.544 -1.370 -1.668 eV per atom.